1.
A plane-wave DFT calculation with GGA-PBEsol was carried out for a relaxed TbMnSi crystal.

Cell lengths 3.8995, 3.8995, 6.9804 Å; angles 90.00, 90.00, 90.00 degrees
Element x y z (fractional)
Tb  0.2500  0.2500  0.1701
Tb  0.7500  0.7500  0.8299
Mn  0.2500  0.7500  0.5000
Mn  0.7500  0.2500  0.5000
Si  0.2500  0.2500  0.6997
Si  0.7500  0.7500  0.3003

## Properties
* size of the total moment: 1.77 μB per formula unit
* theoretical density: 7.57 g cm⁻³
* SG: No. 129
* ΔE_f (raw): -1.71 eV/f.u.
* total energy: -22.23 eV per formula unit



2.
A plane-wave DFT calculation with GGA-PBEsol was carried out for a relaxed KTe2Os crystal.

Cell lengths 5.7828, 5.7828, 5.7828 Å; angles 136.71, 136.71, 62.89 degrees
Element x y z (fractional)
K  0.0000  0.0000  0.0000
Te  0.2500  0.7500  0.5000
Te  0.5000  0.5000  0.0000
Os  0.7500  0.2500  0.5000

## Properties
* ΔE to the lowest computed polymorph: 0 meV per atom
* size of the total moment: 0.00 μB per formula unit
* theoretical density: 8.96 g cm⁻³
* SG: No. 119
* ΔE_f (raw): 3.43 eV/f.u.
* total energy: -16.97 eV per formula unit



3.
A plane-wave DFT calculation with GGA-PBEsol was carried out for a relaxed Hf4CuSi4 crystal.

Cell lengths 5.1648, 5.1648, 8.5871 Å; angles 108.36, 108.36, 42.14 degrees
Element x y z (fractional)
Hf  0.1081  0.1081  0.3802
Hf  0.2459  0.2459  0.8424
Hf  0.7541  0.7541  0.1576
Hf  0.8919  0.8919  0.6198
Cu  0.0000  0.0000  0.0000
Si  0.3852  0.3852  0.3866
Si  0.4628  0.4628  0.1491
Si  0.5372  0.5372  0.8509
Si  0.6148  0.6148  0.6134

## Properties
* size of the total moment: 0.00 μB per formula unit
* theoretical density: 10.21 g cm⁻³
* SG: No. 12
* ΔE_f (raw): -7.47 eV/f.u.
* total energy: -76.81 eV per formula unit



4.
A plane-wave DFT calculation with GGA-PBEsol was carried out for a relaxed LaZr2BeF crystal.

Cell lengths 4.5041, 4.5041, 4.6996 Å; angles 90.00, 90.00, 90.00 degrees
Element x y z (fractional)
La  0.0000  0.0000  0.0000
Zr  0.0000  0.5000  0.5000
Zr  0.5000  0.0000  0.5000
Be  0.5000  0.5000  0.0000
F  0.5000  0.5000  0.5000

## Properties
* size of the total moment: 0.00 μB per formula unit
* theoretical density: 6.08 g cm⁻³
* SG: No. 123
* ΔE_f (raw): -2.06 eV/f.u.
* total energy: -31.52 eV per formula unit



5.
A plane-wave DFT calculation with GGA-PBEsol was carried out for a relaxed La3AgI crystal.

Cell lengths 5.7848, 5.7848, 5.7848 Å; angles 90.00, 90.00, 90.00 degrees
Element x y z (fractional)
La  0.0000  0.0000  0.5000
La  0.0000  0.5000  0.0000
La  0.5000  0.0000  0.0000
Ag  0.0000  0.0000  0.0000
I  0.5000  0.5000  0.5000

## Properties
* size of the total moment: 0.10 μB per formula unit
* theoretical density: 5.59 g cm⁻³
* SG: No. 221
* ΔE_f (raw): 0.44 eV/f.u.
* total energy: -20.68 eV per formula unit



6.
A plane-wave DFT calculation with GGA-PBEsol was carried out for a relaxed InSb2CSe crystal.

Cell lengths 5.6467, 5.6467, 3.9738 Å; angles 90.00, 90.00, 90.00 degrees
Element x y z (fractional)
In  0.0000  0.0000  0.0000
Sb  0.0000  0.5000  0.0000
Sb  0.5000  0.0000  0.0000
C  0.0000  0.0000  0.5000
Se  0.5000  0.5000  0.5000

## Properties
* size of the total moment: 0.00 μB per formula unit
* theoretical density: 5.89 g cm⁻³
* SG: No. 123
* ΔE_f (raw): 7.09 eV/f.u.
* total energy: -18.51 eV per formula unit



7.
A plane-wave DFT calculation with GGA-PBEsol was carried out for a relaxed LaY2Fe crystal.

Cell lengths 4.5872, 4.5872, 4.8435 Å; angles 90.00, 90.00, 90.00 degrees
Element x y z (fractional)
La  0.0000  0.0000  0.0000
Y  0.0000  0.5000  0.5000
Y  0.5000  0.0000  0.5000
Fe  0.5000  0.5000  0.0000

## Properties
* ΔE to the lowest computed polymorph: 0 meV per atom
* size of the total moment: 2.17 μB per formula unit
* theoretical density: 6.07 g cm⁻³
* energy of formation: 384 meV/atom
* SG: No. 123
* total energy: -26.42 eV per formula unit



8.
A plane-wave DFT calculation with GGA-PBEsol was carried out for a relaxed LaNiHg crystal.

Cell lengths 4.4985, 4.4985, 3.8133 Å; angles 90.00, 90.00, 120.00 degrees
Element x y z (fractional)
La  0.0000  0.0000  0.0000
Ni  0.3333  0.6667  0.5000
Hg  0.6667  0.3333  0.5000

## Properties
* size of the total moment: 0.00 μB per formula unit
* theoretical density: 9.89 g cm⁻³
* energy of formation: -343 meV/atom
* SG: No. 187
* total energy: -13.10 eV per formula unit



9.
A plane-wave DFT calculation with GGA-PBEsol was carried out for a relaxed Nb3Sb3O13 crystal.

Cell lengths 7.5001, 7.5001, 7.4903 Å; angles 119.74, 119.74, 59.52 degrees
Element x y z (fractional)
Nb  0.0000  0.0000  0.0000
Nb  0.9998  0.4967  0.5249
Nb  0.4967  0.9998  0.5249
Sb  0.0011  0.0011  0.5069
Sb  0.5173  0.9873  0.0837
Sb  0.9873  0.5173  0.0837
O  0.0562  0.6816  0.4138
O  0.0652  0.6965  0.8180
O  0.0666  0.0666  0.8159
O  0.3033  0.3033  0.5558
O  0.3116  0.9280  0.5615
O  0.3302  0.9518  0.1821
O  0.6720  0.6720  0.9887
O  0.6816  0.0562  0.4138
O  0.6965  0.0652  0.8180
O  0.7008  0.7008  0.4554
O  0.9280  0.3116  0.5615
O  0.9418  0.9418  0.1930
O  0.9518  0.3302  0.1821

## Properties
* size of the total moment: 0.00 μB per formula unit
* theoretical density: 4.75 g cm⁻³
* SG: No. 8
* ΔE_f (raw): -37.84 eV/f.u.
* total energy: -152.22 eV per formula unit



10.
A plane-wave DFT calculation with GGA-PBEsol was carried out for a relaxed Sc2TlPt crystal.

Cell lengths 3.3513, 3.3513, 7.0444 Å; angles 90.00, 90.00, 90.00 degrees
Element x y z (fractional)
Sc  0.0000  0.0000  0.2186
Sc  0.0000  0.0000  0.7814
Tl  0.5000  0.5000  0.5000
Pt  0.5000  0.5000  0.0000

## Properties
* size of the total moment: 0.00 μB per formula unit
* theoretical density: 10.27 g cm⁻³
* energy of formation: -782 meV/atom
* SG: No. 123
* total energy: -25.93 eV per formula unit



11.
A plane-wave DFT calculation with GGA-PBEsol was carried out for a relaxed Be2FeIrI crystal.

Cell lengths 4.1534, 4.1534, 5.4572 Å; angles 90.00, 90.00, 90.00 degrees
Element x y z (fractional)
Be  0.0000  0.5000  0.0000
Be  0.5000  0.0000  0.0000
Fe  0.0000  0.0000  0.5000
Ir  0.5000  0.5000  0.0000
I  0.5000  0.5000  0.5000

## Properties
* size of the total moment: 3.42 μB per formula unit
* theoretical density: 6.93 g cm⁻³
* SG: No. 123
* ΔE_f (raw): 5.30 eV/f.u.
* total energy: -23.26 eV per formula unit



12.
A plane-wave DFT calculation with GGA-PBEsol was carried out for a relaxed Zn2In crystal.

Cell lengths 5.3205, 5.3205, 5.3205 Å; angles 60.00, 60.00, 60.00 degrees
Element x y z (fractional)
Zn  0.0000  0.0000  0.0000
Zn  0.0000  0.0000  0.5000
Zn  0.0000  0.5000  0.0000
Zn  0.5000  0.0000  0.0000
In  0.3750  0.3750  0.3750
In  0.6250  0.6250  0.6250

## Properties
* size of the total moment: 0.00 μB per formula unit
* theoretical density: 7.66 g cm⁻³
* energy of formation: 80 meV/atom
* SG: No. 227
* total energy: -5.91 eV per formula unit



13.
A plane-wave DFT calculation with GGA-PBEsol was carried out for a relaxed Sr2H5Rh crystal.

Cell lengths 5.3140, 5.3140, 5.3140 Å; angles 120.90, 120.90, 88.46 degrees
Element x y z (fractional)
Sr  0.0000  0.5000  0.5000
Sr  0.5000  0.0000  0.5000
H  0.0059  0.0059  0.0000
H  0.0283  0.0283  0.5481
H  0.0283  0.4802  0.0000
H  0.4802  0.0283  0.0000
H  0.4802  0.4802  0.4519
Rh  0.2408  0.2408  0.0000

## Properties
* size of the total moment: 0.00 μB per formula unit
* theoretical density: 4.49 g cm⁻³
* SG: No. 107
* total energy: -33.06 eV per formula unit



14.
A plane-wave DFT calculation with GGA-PBEsol was carried out for a relaxed CsSmMnSe3 crystal.

Cell lengths 8.1450, 8.1450, 11.0746 Å; angles 90.00, 90.00, 150.04 degrees
Element x y z (fractional)
Cs  0.2414  0.7586  0.7500
Cs  0.7586  0.2414  0.2500
Sm  0.5000  0.5000  0.0000
Sm  0.5000  0.5000  0.5000
Mn  0.0372  0.9628  0.2500
Mn  0.9628  0.0372  0.7500
Se  0.1200  0.8800  0.0622
Se  0.1200  0.8800  0.4378
Se  0.4443  0.5557  0.2500
Se  0.5557  0.4443  0.7500
Se  0.8800  0.1200  0.5622
Se  0.8800  0.1200  0.9378

## Properties
* size of the total moment: 5.01 μB per formula unit
* theoretical density: 5.20 g cm⁻³
* SG: No. 63
* ΔE_f (raw): -7.62 eV/f.u.
* total energy: -34.97 eV per formula unit



15.
A plane-wave DFT calculation with GGA-PBEsol was carried out for a relaxed GaRh3Au crystal.

Cell lengths 4.7620, 4.7620, 4.7620 Å; angles 90.00, 90.00, 90.00 degrees
Element x y z (fractional)
Ga  0.0000  0.0000  0.0000
Rh  0.0000  0.5000  0.5000
Rh  0.5000  0.0000  0.5000
Rh  0.5000  0.5000  0.0000
Au  0.5000  0.5000  0.5000

## Properties
* size of the total moment: 1.57 μB per formula unit
* theoretical density: 8.85 g cm⁻³
* energy of formation: 1679 meV/atom
* SG: No. 221
* total energy: -23.28 eV per formula unit



16.
A plane-wave DFT calculation with GGA-PBEsol was carried out for a relaxed GaHgNF2 crystal.

Cell lengths 4.6345, 4.6345, 4.0744 Å; angles 90.00, 90.00, 90.00 degrees
Element x y z (fractional)
Ga  0.0000  0.0000  0.0000
Hg  0.5000  0.5000  0.5000
N  0.5000  0.5000  0.0000
F  0.0000  0.5000  0.5000
F  0.5000  0.0000  0.5000

## Properties
* size of the total moment: 1.66 μB per formula unit
* theoretical density: 6.12 g cm⁻³
* SG: No. 123
* ΔE_f (raw): -0.20 eV/f.u.
* total energy: -16.49 eV per formula unit



17.
A plane-wave DFT calculation with GGA-PBEsol was carried out for a relaxed IrRuRh2 crystal.

Cell lengths 4.6436, 4.6436, 4.6317 Å; angles 99.50, 99.50, 33.44 degrees
Element x y z (fractional)
Ir  0.0000  0.0000  0.0000
Ru  0.5000  0.5000  0.5000
Rh  0.2496  0.2496  0.7480
Rh  0.7504  0.7504  0.2520

## Properties
* ΔE to the lowest computed polymorph: 15 meV per atom
* size of the total moment: 0.00 μB per formula unit
* theoretical density: 15.29 g cm⁻³
* energy of formation: -2 meV/atom
* SG: No. 12
* total energy: -36.28 eV per formula unit



18.
A plane-wave DFT calculation with GGA-PBEsol was carried out for a relaxed CuSbPt crystal.

Cell lengths 4.2885, 4.2885, 4.2885 Å; angles 60.00, 60.00, 60.00 degrees
Element x y z (fractional)
Cu  0.0000  0.0000  0.0000
Sb  0.2500  0.2500  0.2500
Pt  0.5000  0.5000  0.5000

## Properties
* ΔE to the lowest computed polymorph: 223 meV per atom
* size of the total moment: 0.00 μB per formula unit
* theoretical density: 11.33 g cm⁻³
* SG: No. 216
* ΔE_f (raw): 0.06 eV/f.u.
* total energy: -15.79 eV per formula unit



19.
A plane-wave DFT calculation with GGA-PBEsol was carried out for a relaxed Ce3SiPt5 crystal.

Cell lengths 8.2478, 8.2478, 8.2478 Å; angles 127.97, 77.33, 127.15 degrees
Element x y z (fractional)
Ce  0.1228  0.8728  0.2500
Ce  0.2683  0.2201  0.0481
Ce  0.3280  0.7799  0.5481
Ce  0.6720  0.2201  0.4519
Ce  0.7317  0.7799  0.9519
Ce  0.8772  0.1272  0.7500
Si  0.2790  0.5290  0.7500
Si  0.7210  0.4710  0.2500
Pt  0.0419  0.2330  0.4010
Pt  0.0419  0.6409  0.8088
Pt  0.3321  0.2330  0.6912
Pt  0.3321  0.6409  0.0990
Pt  0.5000  0.0000  0.0000
Pt  0.5000  0.5000  0.5000
Pt  0.6679  0.3591  0.9010
Pt  0.6679  0.7670  0.3088
Pt  0.9581  0.3591  0.1912
Pt  0.9581  0.7670  0.5990

## Properties
* size of the total moment: 0.56 μB per formula unit
* theoretical density: 13.83 g cm⁻³
* SG: No. 74
* ΔE_f (raw): -9.47 eV/f.u.
* total energy: -69.82 eV per formula unit



20.
A plane-wave DFT calculation with GGA-PBEsol was carried out for a relaxed SbOs2Br crystal.

Cell lengths 4.5050, 4.5050, 5.3107 Å; angles 101.96, 101.96, 39.57 degrees
Element x y z (fractional)
Sb  0.0000  0.0000  0.0000
Os  0.2520  0.2520  0.7515
Os  0.7480  0.7480  0.2485
Br  0.5000  0.5000  0.5000

## Properties
* ΔE to the lowest computed polymorph: 25 meV per atom
* size of the total moment: 0.00 μB per formula unit
* theoretical density: 14.43 g cm⁻³
* SG: No. 12
* ΔE_f (raw): 3.89 eV/f.u.
* total energy: -26.97 eV per formula unit